DFT (PBE-GGA) results for crystalline AgBr at its relaxed geometry.

Cell lengths 8.611, 8.611, 8.611 Å; angles 90.00, 90.00, 90.00 degrees
Atoms (fractional coordinates):
Br: 0.165 0.835 0.835
Ag: 0.340 0.340 0.340
Ag: 0.660 0.660 0.340
Br: 0.665 0.665 0.665
Ag: 0.840 0.160 0.160
Br: 0.835 0.835 0.165
Br: 0.835 0.165 0.835
Ag: 0.660 0.340 0.660
Br: 0.335 0.335 0.665
Ag: 0.340 0.660 0.660
Br: 0.665 0.335 0.335
Ag: 0.160 0.160 0.840
Ag: 0.160 0.840 0.160
Br: 0.335 0.665 0.335
Ag: 0.840 0.840 0.840
Br: 0.165 0.165 0.165

Results
The total magnetization is 0.00 μB per atom. As for the density of states at the Fermi level: 0.00 states/eV per cell. Its crystal system is cubic. The value obtained for the uncorrected energy is -2.56 eV/atom. As for the space group: I-43m, No. 217.



DFT (PBE-GGA) results for crystalline Sc8Ru2Rh at its relaxed geometry.

Cell lengths 5.240, 7.128, 7.128 Å; angles 113.39, 100.24, 100.24 degrees
Atoms (fractional coordinates):
Sc: 0.600 0.080 0.336
Ru: 0.499 0.692 0.314
Sc: 0.401 0.670 0.926
Sc: 0.600 0.336 0.080
Sc: 0.187 0.368 0.368
Sc: 0.000 0.788 0.218
Rh: 0.000 0.003 0.003
Sc: 0.813 0.638 0.638
Sc: 0.401 0.926 0.670
Sc: 0.000 0.218 0.788
Ru: 0.499 0.314 0.692

Results
The total magnetization is 0.00 μB per atom. As for the density of states at the Fermi level: 10.03 states/eV per cell. Its crystal system is monoclinic. The calculation puts the formation energy at -0.38 eV/atom. The value obtained for the uncorrected energy is -7.34 eV/atom. As for the space group: Cm, No. 8.



DFT (PBE-GGA) results for crystalline Pr9Al2Tl at its relaxed geometry.

Cell lengths 4.967, 4.967, 14.911 Å; angles 90.00, 90.00, 90.00 degrees
Atoms (fractional coordinates):
Pr: 0.500 0.000 0.173
Pr: 0.500 0.000 0.500
Pr: 0.000 0.500 0.500
Pr: 0.000 0.500 0.827
Tl: 0.000 0.000 0.000
Pr: 0.500 0.500 0.337
Pr: 0.500 0.500 0.663
Pr: 0.500 0.500 0.000
Al: 0.000 0.000 0.665
Al: 0.000 0.000 0.335
Pr: 0.000 0.500 0.173
Pr: 0.500 0.000 0.827

Results
The total magnetization is 0.00 μB per atom. As for the density of states at the Fermi level: 18.61 states/eV per cell. Its crystal system is tetragonal. The calculation puts the formation energy at -0.18 eV/atom. The value obtained for the uncorrected energy is -4.58 eV/atom. As for the space group: P4/mmm, No. 123.



DFT (PBE-GGA) results for crystalline Al2Bi5Pd12 at its relaxed geometry.

Cell lengths 5.667, 9.561, 9.600 Å; angles 127.19, 90.00, 107.24 degrees
Atoms (fractional coordinates):
Pd: 0.503 0.007 0.223
Pd: 0.397 0.292 0.567
Pd: 0.113 0.226 0.273
Bi: 0.325 0.649 0.154
Pd: 0.887 0.774 0.727
Pd: 0.603 0.708 0.433
Bi: 0.693 0.387 0.364
Pd: 0.406 0.323 0.076
Bi: 0.675 0.351 0.846
Pd: 0.917 0.323 0.076
Bi: 0.307 0.613 0.636
Pd: 0.594 0.677 0.924
Al: 0.246 0.000 0.000
Bi: 0.000 0.000 0.500
Al: 0.754 0.000 0.000
Pd: 0.895 0.292 0.567
Pd: 0.105 0.708 0.433
Pd: 0.083 0.677 0.924
Pd: 0.497 0.993 0.777

Results
The total magnetization is 0.00 μB per atom. As for the density of states at the Fermi level: 8.64 states/eV per cell. Its crystal system is monoclinic. The calculation puts the formation energy at -0.24 eV/atom. The value obtained for the uncorrected energy is -4.94 eV/atom. As for the space group: C2/m, No. 12.



DFT (PBE-GGA) results for crystalline Co2Ni3Pt4 at its relaxed geometry.

Cell lengths 2.692, 7.192, 7.011 Å; angles 115.13, 101.05, 90.07 degrees
Atoms (fractional coordinates):
Pt: 0.514 0.322 0.027
Pt: 0.189 0.314 0.376
Pt: 0.486 0.678 0.973
Ni: 0.000 0.000 0.000
Co: 0.326 0.006 0.652
Pt: 0.811 0.686 0.624
Ni: 0.852 0.323 0.702
Ni: 0.148 0.677 0.298
Co: 0.674 0.994 0.348

Results
The total magnetization is 0.81 μB per atom. As for the density of states at the Fermi level: 10.75 states/eV per cell. Its crystal system is triclinic. The calculation puts the formation energy at -0.06 eV/atom. The value obtained for the uncorrected energy is -6.25 eV/atom. As for the space group: P-1, No. 2.



DFT (PBE-GGA) results for crystalline Th2TaNiN5 at its relaxed geometry.

Cell lengths 3.318, 6.970, 10.343 Å; angles 90.00, 90.00, 103.77 degrees
Atoms (fractional coordinates):
N: 0.354 0.709 0.000
Ni: 0.463 0.925 0.452
Th: 0.108 0.217 0.682
N: 0.287 0.573 0.653
N: 0.949 0.898 0.560
N: 0.713 0.427 0.153
Ni: 0.537 0.075 0.952
Ta: 0.195 0.390 0.013
N: 0.494 0.987 0.775
N: 0.051 0.102 0.060
Th: 0.892 0.783 0.182
N: 0.682 0.364 0.877
Th: 0.865 0.729 0.811
Th: 0.135 0.271 0.311
N: 0.318 0.636 0.377
N: 0.646 0.291 0.500
Ta: 0.805 0.610 0.513
N: 0.506 0.013 0.275

Results
The total magnetization is 0.00 μB per atom. As for the density of states at the Fermi level: 5.85 states/eV per cell. Its crystal system is orthorhombic. The value obtained for the uncorrected energy is -9.26 eV/atom. As for the space group: Cmc2_1, No. 36.